VASP calculation (PBE) on an optimized crystal structure of LaTbScTe3.

The value obtained for the uncorrected energy is -5.494 eV per atom. Its crystal system is monoclinic. The calculated volume is 373.3 Å³/cell. As for the uncorrected formation energy: -1.275 eV/atom. The value obtained for the density of states at the Fermi level is 7.58 states/eV per cell.

The structure belongs to space group P2_1/m (No. 11); the cell edges are 8.971, 4.351 and 9.930 Å and the angles 90.00°, 105.61° and 90.00°. The distinct sites, in fractional coordinates, are La at (0.182, 0.250, 0.232), Tb at (0.334, 0.750, 0.845), Sc at (0.092, 0.250, 0.596), Te at (0.098, 0.250, 0.885), Te at (0.254, 0.750, 0.502) and Te at (0.430, 0.750, 0.173).